No. 1
A plane-wave DFT calculation with PBE was carried out for a relaxed LiMg4Ni crystal.

Unit cell a=4.557 b=4.503 c=7.918 alpha=73.89 beta=73.28 gamma=59.60
Atoms (fractional coordinates):
Mg 0.892 0.879 0.337
Mg 0.636 0.638 0.090
Mg 0.108 0.121 0.663
Li 0.500 0.500 0.500
Ni 0.000 0.000 0.000
Mg 0.364 0.362 0.910

Calculated values
Energy of formation ... 2.8 kcal/mol of atoms
Density ... 2.0 g/cm³
Space group ... C2/m, No. 12



No. 2
A plane-wave DFT calculation with PBE was carried out for a relaxed Mg3Zn2Ag4 crystal.

Unit cell a=4.662 b=4.591 c=8.562 alpha=91.64 beta=90.00 gamma=120.51
Atoms (fractional coordinates):
Mg 0.000 0.000 0.000
Zn 0.667 0.333 0.778
Ag 0.002 0.003 0.331
Ag 0.333 0.666 0.893
Ag 0.667 0.334 0.107
Ag 0.998 0.997 0.669
Zn 0.333 0.667 0.222
Mg 0.333 0.666 0.572
Mg 0.667 0.334 0.428

Calculated values
Energy of formation ... -3.3 kcal/mol of atoms
Density ... 6.7 g/cm³
Space group ... C2/m, No. 12



No. 3
A plane-wave DFT calculation with PBE was carried out for a relaxed KBeHg2Pt crystal.

Unit cell a=4.998 b=4.492 c=4.998 alpha=90.00 beta=90.00 gamma=90.00
Atoms (fractional coordinates):
Hg 0.000 0.000 0.500
Be 0.000 0.000 0.000
Hg 0.500 0.000 0.000
K 0.500 0.500 0.500
Pt 0.000 0.500 0.000

Calculated values
Energy of formation ... -0.5 kcal/mol of atoms
Density ... 9.5 g/cm³
Space group ... P4/mmm, No. 123



No. 4
A plane-wave DFT calculation with PBE was carried out for a relaxed Rb2ReAs crystal.

Unit cell a=13.233 b=13.233 c=9.652 alpha=46.72 beta=46.72 gamma=90.00
Site moments in Bohr magnetons follow the coordinates.
Atoms (fractional coordinates):
Re 0.000 0.000 0.000  1.18
As 0.250 0.750 0.500  -0.05
Rb 0.906 0.625 0.250  0.01
Rb 0.875 0.094 0.750  0.01
Re 0.750 0.250 0.500  1.18
As 0.500 0.500 0.000  -0.05
Rb 0.375 0.156 0.750  0.01
Rb 0.844 0.125 0.250  0.01

Calculated values
Energy of formation ... 15.7 kcal/mol of atoms
Density ... 3.5 g/cm³
Space group ... I-42d, No. 122



No. 5
A plane-wave DFT calculation with PBE was carried out for a relaxed Na3Sm3CrS8 crystal.

Unit cell a=7.889 b=7.889 c=8.161 alpha=118.92 beta=90.00 gamma=120.00
Site moments in Bohr magnetons follow the coordinates.
Atoms (fractional coordinates):
S 0.783 0.566 0.291  -0.06
S 0.775 0.992 0.709  -0.06
S 0.255 0.510 0.265  -0.02
Sm 0.500 0.000 0.500  0.01
Sm 0.000 0.500 0.500  0.01
S 0.745 0.490 0.735  -0.02
Na 0.000 0.000 0.000  0.00
S 0.217 0.434 0.709  -0.06
Na 0.500 0.500 0.000  0.00
Na 0.000 0.500 0.000  0.00
S 0.217 0.992 0.709  -0.06
Sm 0.500 0.500 0.500  0.01
Cr 0.000 0.000 0.500  2.40
S 0.225 0.008 0.291  -0.06
S 0.783 0.008 0.291  -0.06

Calculated values
E_form (uncorrected) ... -22.1 eV/f.u.
Density ... 3.8 g/cm³
Space group ... R-3m, No. 166



No. 6
A plane-wave DFT calculation with PBE was carried out for a relaxed Y12Ho5Mg2 crystal.

Unit cell a=9.233 b=9.066 c=8.372 alpha=90.63 beta=90.00 gamma=120.61
Atoms (fractional coordinates):
Y 0.916 0.833 0.116
Y 0.967 0.301 0.240
Ho 0.234 0.468 0.577
Y 0.568 0.748 0.331
Ho 0.000 0.000 0.500
Ho 0.701 0.402 0.014
Y 0.557 0.114 0.331
Y 0.666 0.699 0.760
Ho 0.299 0.598 0.986
Mg 0.330 0.000 0.000
Y 0.084 0.167 0.884
Ho 0.766 0.532 0.423
Y 0.432 0.252 0.669
Y 0.820 0.252 0.669
Y 0.033 0.699 0.760
Y 0.443 0.886 0.669
Y 0.180 0.748 0.331
Mg 0.670 0.000 0.000
Y 0.334 0.301 0.240

Calculated values
Energy of formation ... 2.3 kcal/mol of atoms
Density ... 5.3 g/cm³
Space group ... C2/m, No. 12



no.,total energy (hartree per atom)
1,-0.082
2,-0.082
3,-0.085
4,-0.150
5,-0.203
6,-0.197